# 1
DFT (PBE) results for a geometry-optimized LiCuReAs structure.

Structure (extended XYZ):
```
4
Lattice="0.000 3.019 3.019 3.019 0.000 3.019 3.019 3.019 0.000" Properties=species:S:1:pos:R:3 pbc="T T T"
Li 0.000 0.000 0.000
Cu 3.019 3.019 3.019
Re 4.529 4.529 4.529
As 1.510 1.510 1.510
```

# 2
DFT (PBE) results for a geometry-optimized NbCuSnIr structure.

Structure (extended XYZ):
```
4
Lattice="0.000 3.213 3.213 3.213 0.000 3.213 3.213 3.213 0.000" Properties=species:S:1:pos:R:3 pbc="T T T"
Nb 0.000 0.000 0.000
Cu 3.213 3.213 3.213
Sn 1.606 1.606 1.606
Ir 4.819 4.819 4.819
```

# 3
DFT (PBE) results for a geometry-optimized Zr2BeTc structure.

Structure (extended XYZ):
```
4
Lattice="0.000 3.220 3.220 3.220 0.000 3.220 3.220 3.220 0.000" Properties=species:S:1:pos:R:3 pbc="T T T"
Zr 0.000 0.000 0.000
Zr 1.610 1.610 1.610
Be 3.220 3.220 3.220
Tc 4.830 4.830 4.830
```

# 4
DFT (PBE) results for a geometry-optimized ThSnHg2 structure.

Structure (extended XYZ):
```
4
Lattice="4.623 0.000 0.000 0.000 4.623 0.000 0.000 0.000 4.924" Properties=species:S:1:pos:R:3 pbc="T T T"
Th 0.000 0.000 0.000
Sn 2.312 2.312 0.000
Hg 0.000 2.312 2.462
Hg 2.312 0.000 2.462
```

# 5
DFT (PBE) results for a geometry-optimized SmYCd2Au4 structure.

Structure (extended XYZ):
```
8
Lattice="4.972 0.000 0.000 0.000 4.972 0.000 0.000 0.000 7.016" Properties=species:S:1:pos:R:3 pbc="T T T"
Sm 0.000 0.000 0.000
Y 2.486 2.486 3.508
Cd 0.000 0.000 3.508
Cd 2.486 2.486 0.000
Au 0.000 2.486 1.790
Au 0.000 2.486 5.226
Au 2.486 0.000 1.790
Au 2.486 0.000 5.226
```

formation energy: -0.67 eV per atom

# 6
DFT (PBE) results for a geometry-optimized HfZnIr2 structure.

Structure (extended XYZ):
```
8
Lattice="4.464 0.000 0.000 -2.232 3.866 0.000 0.000 0.000 8.017" Properties=species:S:1:pos:R:3 pbc="T T T"
Hf 0.000 0.000 0.000
Hf 0.000 0.000 4.009
Zn 0.000 2.577 2.004
Zn 2.232 1.289 6.013
Ir 0.000 2.577 4.780
Ir 0.000 2.577 7.246
Ir 2.232 1.289 0.771
Ir 2.232 1.289 3.237
```

formation energy: -0.38 eV per atom

# 7
DFT (PBE) results for a geometry-optimized Ta structure.

Structure (extended XYZ):
```
1
Lattice="2.215 1.279 1.030 -2.215 1.279 1.030 0.000 -2.557 1.030" Properties=species:S:1:pos:R:3 pbc="T T T"
Ta 0.000 0.000 0.000
```

formation energy: 0.11 eV per atom

# 8
DFT (PBE) results for a geometry-optimized GdMg2Au structure.

Structure (extended XYZ):
```
8
Lattice="4.788 0.000 0.000 0.000 6.113 0.000 0.000 0.000 6.110" Properties=species:S:1:pos:R:3 pbc="T T T"
Gd 1.197 1.528 0.498
Gd 3.591 4.585 5.612
Mg 1.197 0.010 3.823
Mg 1.197 3.047 3.823
Mg 3.591 3.066 2.287
Mg 3.591 6.104 2.287
Au 1.197 4.585 1.430
Au 3.591 1.528 4.681
```

Number 1: total energy -19.9 eV per cell. Number 2: total energy -26.7 eV per cell. Number 3: total energy -30.9 eV per cell. Number 4: total energy -13.4 eV per cell. Number 5: total energy -31.4 eV per cell. Number 6: total energy -60.9 eV per cell. Number 7: total energy -11.7 eV per cell. Number 8: total energy -25.5 eV per cell.